No. 1
Ho3MgTl4 | PBE | relaxed

Values from the calculation:
The energy of formation from the pure elements comes out at -0.28 eV per atom. For the offset from the most stable computed form, the calculation gives 0 meV per atom. The calculation puts the density of states at the Fermi level at 4.21 states/eV/cell.

a b c (Å): 5.2423 5.2423 9.3651
angles (deg): 73.75 73.75 60.00
Closest atoms and distances in Å follow each position.
Positions (direct):
Mg  0.0000  0.0000  0.0000  8 Tl 3.23-3.31
Ho  0.2557  0.2557  0.2328  8 Tl 3.17-3.49
Ho  0.7443  0.7443  0.7672  8 Tl 3.17-3.49
Ho  0.5000  0.5000  0.5000  8 Tl 3.23-3.30
Tl  0.8756  0.8756  0.3730  7 Ho 3.23-3.49, 1 Mg 3.31
Tl  0.3758  0.3758  0.8726  5 Ho 3.17-3.30, 3 Mg 3.23
Tl  0.1244  0.1244  0.6270  7 Ho 3.23-3.49, 1 Mg 3.31
Tl  0.6242  0.6242  0.1274  5 Ho 3.17-3.30, 3 Mg 3.23

***

No. 2
Al4Cu3 | PBE | relaxed

Values from the calculation:
The energy of formation from the pure elements comes out at -0.08 eV per atom. For the offset from the most stable computed form, the calculation gives 9 meV per atom. The calculation puts the density of states at the Fermi level at 2.51 states/eV/cell.

a b c (Å): 4.9117 4.9117 4.7939
angles (deg): 90.00 90.00 120.00
Closest atoms and distances in Å follow each position.
Positions (direct):
Al  0.0000  0.0000  0.2523  2 Al 2.37-2.42
Al  0.0000  0.0000  0.7477  2 Al 2.37-2.42
Al  0.6667  0.3333  0.5000  6 Cu 2.78, 9 Al 2.84-3.07
Al  0.3333  0.6667  0.5000  6 Cu 2.78, 9 Al 2.84-3.07
Cu  0.0000  0.5000  0.0000  4 Cu 2.46, 4 Al 2.74
Cu  0.5000  0.5000  0.0000  4 Cu 2.46, 4 Al 2.74
Cu  0.5000  0.0000  0.0000  4 Cu 2.46, 4 Al 2.74

***

No. 3
Nb2ZnCr2 | PBE | relaxed

Values from the calculation:
The energy of formation from the pure elements comes out at 0.22 eV per atom. The calculation puts the density of states at the Fermi level at 3.62 states/eV/cell.

a b c (Å): 6.8256 6.8256 3.3118
angles (deg): 90.00 90.00 90.00
Closest atoms and distances in Å follow each position.
Positions (direct):
Cr  0.3924  0.8924  0.0000  1 Cr 2.08
Cr  0.8924  0.6076  0.0000  1 Cr 2.08
Cr  0.6076  0.1076  0.0000  1 Cr 2.08
Cr  0.1076  0.3924  0.0000  1 Cr 2.08
Nb  0.1933  0.6933  0.5000  6 Cr 2.54-2.70
Nb  0.6933  0.8067  0.5000  6 Cr 2.54-2.70
Nb  0.8067  0.3067  0.5000  6 Cr 2.54-2.70
Nb  0.3067  0.1933  0.5000  6 Cr 2.54-2.70
Zn  0.0000  0.0000  0.0000  4 Cr 2.78, 8 Nb 2.98
Zn  0.5000  0.5000  0.0000  4 Cr 2.78, 8 Nb 2.98

***

Volume, respectively: 26.37 14.31 15.43 A^3/atom.
Energy, respectively: -3.37 -3.97 -7.91 eV per atom.